The following is a GGA-PBE calculation of Li2CoIr after structural relaxation, from the Alexandria database.

a b c (Å): 2.5837 2.5837 8.8236
angles (deg): 90.00 90.00 116.73
Each line ends with the local moment (μB).
Positions (direct):
Li  0.0000  0.0000  0.5002  -0.03
Li  0.0000  0.0000  0.9998  -0.03
Co  0.5000  0.5000  0.2500  1.67
Ir  0.5000  0.5000  0.7500  0.03

- Volume: 13.2 Å³ per atom
- Space-group type: Cmmm
- Raw total energy: -4.932 eV per atom
- Energy of formation from the pure elements: 16.3 meV per atom
- Offset from the most stable computed form: 82 meV/atom

---

The following is a GGA-PBE calculation of BaPrScO4 after structural relaxation, from the Alexandria database.

a b c (Å): 4.0963 4.0963 7.1051
angles (deg): 106.75 106.75 90.00
Positions (direct):
Ba  0.6481  0.6481  0.2962
O  0.9860  0.4860  0.9720
O  0.4860  0.9860  0.9720
O  0.1786  0.1786  0.3572
O  0.8375  0.8375  0.6751
Sc  0.0008  0.0008  0.0017
Pr  0.3629  0.3629  0.7258

- Volume: 15.6 Å³ per atom
- Space-group type: I4mm
- Raw total energy: -7.836 eV per atom
- Uncorrected formation energy: -3.1406 eV per atom

---

> What is the volume in the first record?

13.2 Å³ per atom